(1)
## YCdNO2 (PBE-GGA)

Data for YCdNO2 after structural relaxation.

Results
- D(E_F): 3.04 states/eV/cell
- Calculated volume: 70 Å³/cell
- ρ: 5.9 Mg/m³
- Crystal system: tetragonal
- Raw formation energy: -0.490 eV per atom
- DFT total energy: -28.07 eV per formula unit

Cell lengths 4.085, 4.085, 4.173 Å; angles 90.00, 90.00, 90.00 degrees
Site moments in Bohr magnetons follow the coordinates.
Atoms (fractional coordinates):
Y 0.500 0.500 0.500  -0.01
N 0.000 0.000 0.500  0.14
O 0.000 0.500 0.000  0.03
O 0.500 0.000 0.000  0.03
Cd 0.000 0.000 0.000  0.01

***

(2)
## YCdNO2 (PBE-GGA)

Data for YCdNO2 after structural relaxation.

Results
- D(E_F): 2.49 states/eV/cell
- Calculated volume: 87 Å³/cell
- ρ: 4.7 Mg/m³
- Crystal system: tetragonal
- Raw formation energy: -0.552 eV per atom
- DFT total energy: -28.38 eV per formula unit

Cell lengths 4.369, 4.369, 4.556 Å; angles 90.00, 90.00, 90.00 degrees
Site moments in Bohr magnetons follow the coordinates.
Atoms (fractional coordinates):
Y 0.000 0.000 0.000  0.00
N 0.000 0.000 0.500  0.99
O 0.000 0.500 0.000  0.32
O 0.500 0.000 0.000  0.32
Cd 0.500 0.500 0.500  -0.07